Entry 1:
OsICl6: optimized geometry, PBE.

The space group is C2/c (No. 15) and the conventional cell measures 11.420, 8.350 and 12.160 Å, with angles of 90.00, 91.26 and 90.00 degrees. The inequivalent atoms are Os at (0.250, 0.250, 0.000), I at (0.000, 0.236, 0.250), Cl at (0.047, 0.232, 0.043), Cl at (0.194, 0.274, 0.819) and Cl at (0.242, 0.477, 0.520).

As for the size of the total moment: 12.02 μB/cell. The value obtained for the total energy is -105.623 eV/cell. As for the crystal system: monoclinic.

***

Entry 2:
Hf2ReSnS: optimized geometry, PBE.

The space group is P4/mmm (No. 123) and the conventional cell measures 5.243, 5.243 and 4.314 Å, with angles of 90.00, 90.00 and 90.00 degrees. The inequivalent atoms are Hf at (0.000, 0.500, 0.000), Re at (0.000, 0.000, 0.000), Sn at (0.500, 0.500, 0.500) and S at (0.000, 0.000, 0.500).

As for the size of the total moment: 0.00 μB/cell. The value obtained for the total energy is -38.855 eV/cell. As for the crystal system: tetragonal.

***

Entry 3:
Lu2BeNi: optimized geometry, PBE.

The space group is Fm-3m (No. 225) and the conventional cell measures 6.633, 6.633 and 6.633 Å, with angles of 90.00, 90.00 and 90.00 degrees. The inequivalent atoms are Lu at (0.250, 0.250, 0.250), Be at (0.000, 0.000, 0.000) and Ni at (0.000, 0.000, 0.500).

As for the size of the total moment: 0.00 μB/cell. The value obtained for the total energy is -77.562 eV/cell. For the distance to the lowest polymorph of the same formula, the calculation gives 24 meV per atom. The value obtained for the formation energy is -81 kJ/mol of formula units. As for the crystal system: cubic.

***

Entry 4:
PuBePd2: optimized geometry, PBE.

The space group is R-3m (No. 166, hexagonal axes) and the conventional cell measures 4.0478, 4.0478 and 15.1852 Å, with angles of 90.00, 90.00 and 120.00 degrees. The inequivalent atoms are Pu at (0.0000, 0.0000, 0.0000), Be at (0.0000, 0.0000, 0.5000) and Pd at (0.0000, 0.0000, 0.2128).

As for the size of the total moment: 16.64 μB/cell. The value obtained for the total energy is -89.929 eV/cell. For the distance to the lowest polymorph of the same formula, the calculation gives 66 meV per atom. The value obtained for the formation energy is -148 kJ/mol of formula units. As for the crystal system: trigonal.

***

- Look up the size of the total moment of the second one.
  0.00 μB/cell

***

- Look up the size of the total moment of the fourth one.
  16.64 μB/cell

***

- What is the size of the total moment in the second record?
  0.00 μB/cell

***

- Which of these has the highest size of the total moment?
  PuBePd2